Record 1
Crystalline Tb7DyTm3 at its relaxed geometry, computed with GGA-PBE.

```
data_Tb7DyTm3
_cell_length_a 6.9398
_cell_length_b 5.5042
_cell_length_c 9.8237
_cell_angle_alpha 90.00
_cell_angle_beta 110.31
_cell_angle_gamma 90.00
_space_group_name_H-M_alt 'P 1 2/m 1'
_space_group_IT_number 10
_space_group_name_Hall '-P 2y'
loop_
_atom_site_label
_atom_site_type_symbol
_atom_site_fract_x
_atom_site_fract_y
_atom_site_fract_z
_atom_site_occupancy
Tb1 Tb 0.0000 0.0000 0.0000 1
Tb2 Tb 0.1462 0.5000 0.2914 1
Tb3 Tb 0.3225 0.5000 0.6417 1
Tb4 Tb 0.4183 0.0000 0.8308 1
Dy1 Dy 0.0000 0.0000 0.5000 1
Tm1 Tm 0.2786 0.5000 0.9990 1
Tm2 Tm 0.5000 0.0000 0.5000 1
```

Values from the calculation:
The calculation puts the formation energy from the elements at 0.1385 eV per atom. The density is 8408 kg/m³.

=====

Record 2
Crystalline TaAlRe2 at its relaxed geometry, computed with GGA-PBE.

```
data_TaAlRe2
_cell_length_a 2.8250
_cell_length_b 2.8250
_cell_length_c 27.2872
_cell_angle_alpha 90.00
_cell_angle_beta 90.00
_cell_angle_gamma 120.00
_space_group_name_H-M_alt 'R -3 m'
_space_group_IT_number 166
_space_group_name_Hall '-R 3 2"'
loop_
_atom_site_label
_atom_site_type_symbol
_atom_site_fract_x
_atom_site_fract_y
_atom_site_fract_z
_atom_site_occupancy
Ta1 Ta 0.0000 0.0000 0.0000 1
Al1 Al 0.0000 0.0000 0.5000 1
Re1 Re 0.0000 0.0000 0.2462 1
```

Values from the calculation:
The calculation puts the formation energy from the elements at 0.0788 eV per atom. The density is 15330 kg/m³.

=====

Record 3
Crystalline Hf4Ga3Au at its relaxed geometry, computed with GGA-PBE.

```
data_Hf4Ga3Au
_cell_length_a 3.8469
_cell_length_b 3.8882
_cell_length_c 10.3075
_cell_angle_alpha 90.00
_cell_angle_beta 90.00
_cell_angle_gamma 90.00
_space_group_name_H-M_alt 'P m m 2'
_space_group_IT_number 25
_space_group_name_Hall 'P 2 -2'
loop_
_atom_site_label
_atom_site_type_symbol
_atom_site_fract_x
_atom_site_fract_y
_atom_site_fract_z
_atom_site_occupancy
Hf1 Hf 0.0000 0.0000 0.0000 1
Hf2 Hf 0.0000 0.5000 0.2830 1
Hf3 Hf 0.5000 0.0000 0.4876 1
Hf4 Hf 0.5000 0.5000 0.7889 1
Ga1 Ga 0.0000 0.5000 0.5504 1
Ga2 Ga 0.5000 0.0000 0.2196 1
Ga3 Ga 0.5000 0.5000 0.0576 1
Au1 Au 0.0000 0.0000 0.7225 1
```

Values from the calculation:
The calculation puts the formation energy from the elements at -0.4698 eV per atom. The density is 12064 kg/m³.

=====

Record 4
Crystalline K2Sr at its relaxed geometry, computed with GGA-PBE.

```
data_K2Sr
_cell_length_a 16.8388
_cell_length_b 4.4405
_cell_length_c 10.9732
_cell_angle_alpha 90.00
_cell_angle_beta 106.59
_cell_angle_gamma 90.00
_space_group_name_H-M_alt 'C 1 m 1'
_space_group_IT_number 8
_space_group_name_Hall 'C -2y'
loop_
_atom_site_label
_atom_site_type_symbol
_atom_site_fract_x
_atom_site_fract_y
_atom_site_fract_z
_atom_site_occupancy
K1 K 0.0000 0.0000 0.0000 1
K2 K 0.0558 0.0000 0.6097 1
K3 K 0.1649 0.5000 0.3261 1
K4 K 0.3319 0.0000 0.6660 1
Sr1 Sr 0.2281 0.5000 0.9544 1
Sr2 Sr 0.3827 0.0000 0.2652 1
```

Values from the calculation:
The calculation puts the formation energy from the elements at 0.0894 eV per atom. The density is 1401 kg/m³.

=====

Record 5
Crystalline K6CdAu2O at its relaxed geometry, computed with GGA-PBE.

```
data_K6CdAu2O
_cell_length_a 8.1249
_cell_length_b 8.1884
_cell_length_c 8.5203
_cell_angle_alpha 90.27
_cell_angle_beta 118.37
_cell_angle_gamma 119.50
_space_group_name_H-M_alt 'P 1'
_space_group_IT_number 1
_space_group_name_Hall 'P 1'
loop_
_atom_site_label
_atom_site_type_symbol
_atom_site_fract_x
_atom_site_fract_y
_atom_site_fract_z
_atom_site_occupancy
K1 K 0.0000 0.0000 0.0000 1
K2 K 0.0250 0.8485 0.4314 1
K3 K 0.2444 0.3709 0.4317 1
K4 K 0.4689 0.6687 0.0015 1
K5 K 0.6627 0.1946 0.9973 1
K6 K 0.7230 0.0734 0.4334 1
Cd1 Cd 0.8483 0.5274 0.7063 1
Au1 Au 0.4711 0.8303 0.6401 1
Au2 Au 0.5795 0.3901 0.3018 1
O1 O 0.8551 0.0265 0.2175 1
```

Values from the calculation:
The density is 3047 kg/m³.

=====

Record 6
Crystalline BaWSe2Br at its relaxed geometry, computed with GGA-PBE.

```
data_BaWSe2Br
_cell_length_a 6.2234
_cell_length_b 6.2234
_cell_length_c 5.9893
_cell_angle_alpha 90.00
_cell_angle_beta 90.00
_cell_angle_gamma 90.00
_space_group_name_H-M_alt 'P 4/m m m'
_space_group_IT_number 123
_space_group_name_Hall '-P 4 2'
loop_
_atom_site_label
_atom_site_type_symbol
_atom_site_fract_x
_atom_site_fract_y
_atom_site_fract_z
_atom_site_occupancy
Ba1 Ba 0.0000 0.0000 0.0000 1
W1 W 0.5000 0.5000 0.5000 1
Se1 Se 0.0000 0.5000 0.0000 1
Br1 Br 0.0000 0.0000 0.5000 1
```

Values from the calculation:
The density is 4002 kg/m³.

=====

Record 7
Crystalline AcGa2O6 at its relaxed geometry, computed with GGA-PBE.

```
data_AcGa2O6
_cell_length_a 5.2541
_cell_length_b 5.2541
_cell_length_c 5.2667
_cell_angle_alpha 90.00
_cell_angle_beta 90.00
_cell_angle_gamma 120.00
_space_group_name_H-M_alt 'P -3 1 m'
_space_group_IT_number 162
_space_group_name_Hall '-P 3 2'
loop_
_atom_site_label
_atom_site_type_symbol
_atom_site_fract_x
_atom_site_fract_y
_atom_site_fract_z
_atom_site_occupancy
Ac1 Ac 0.0000 0.0000 0.0000 1
Ga1 Ga 0.3333 0.6667 0.5000 1
O1 O 0.0000 0.3779 0.7098 1
```

Values from the calculation:
The density is 6099 kg/m³.

=====

Record 8
Crystalline Ta2TiTe4Se2 at its relaxed geometry, computed with GGA-PBE.

```
data_Ta2TiTe4Se2
_cell_length_a 3.6305
_cell_length_b 3.6305
_cell_length_c 22.1638
_cell_angle_alpha 90.00
_cell_angle_beta 90.00
_cell_angle_gamma 120.00
_space_group_name_H-M_alt 'P 3 m 1'
_space_group_IT_number 156
_space_group_name_Hall 'P 3 -2"'
loop_
_atom_site_label
_atom_site_type_symbol
_atom_site_fract_x
_atom_site_fract_y
_atom_site_fract_z
_atom_site_occupancy
Ta1 Ta 0.0000 0.0000 0.0000 1
Ta2 Ta 0.3333 0.6667 0.3361 1
Ti1 Ti 0.3333 0.6667 0.6844 1
Te1 Te 0.0000 0.0000 0.2520 1
Te2 Te 0.0000 0.0000 0.4203 1
Te3 Te 0.3333 0.6667 0.0843 1
Te4 Te 0.3333 0.6667 0.9160 1
Se1 Se 0.0000 0.0000 0.6132 1
Se2 Se 0.0000 0.0000 0.7563 1
```

Values from the calculation:
The density is 7076 kg/m³.

=====

Record 9
Crystalline CaCl2 at its relaxed geometry, computed with GGA-PBE.

```
data_CaCl2
_cell_length_a 3.5078
_cell_length_b 3.5078
_cell_length_c 28.4215
_cell_angle_alpha 90.00
_cell_angle_beta 90.00
_cell_angle_gamma 90.00
_space_group_name_H-M_alt 'I 41/a m d'
_space_group_IT_number 141
loop_
_space_group_symop_operation_xyz
'x,y,z'
'-x,-y,-z'
'-y+1/4,x+3/4,z+1/4'
'y+1/4,-x+3/4,-z+1/4'
'-x+1/2,-y,z+1/2'
'x+1/2,y,-z+1/2'
'y+1/4,-x+1/4,z+3/4'
'-y+1/4,x+1/4,-z+3/4'
'x,-y,-z'
'-x,y,z'
'-y+1/4,-x+1/4,-z+3/4'
'y+1/4,x+1/4,z+3/4'
'-x+1/2,y,-z+1/2'
'x+1/2,-y,z+1/2'
'y+1/4,x+3/4,-z+1/4'
'-y+1/4,-x+3/4,z+1/4'
'x+1/2,y+1/2,z+1/2'
'-x+1/2,-y+1/2,-z+1/2'
'-y+3/4,x+1/4,z+3/4'
'y+3/4,-x+1/4,-z+3/4'
'-x,-y+1/2,z'
'x,y+1/2,-z'
'y+3/4,-x+3/4,z+1/4'
'-y+3/4,x+3/4,-z+1/4'
'x+1/2,-y+1/2,-z+1/2'
'-x+1/2,y+1/2,z+1/2'
'-y+3/4,-x+3/4,-z+1/4'
'y+3/4,x+3/4,z+1/4'
'-x,y+1/2,-z'
'x,-y+1/2,z'
'y+3/4,x+1/4,-z+3/4'
'-y+3/4,-x+1/4,z+3/4'
loop_
_atom_site_label
_atom_site_type_symbol
_atom_site_fract_x
_atom_site_fract_y
_atom_site_fract_z
_atom_site_occupancy
Ca1 Ca 0.0000 0.2500 0.3750 1
Cl1 Cl 0.0000 0.2500 0.8203 1
```

Values from the calculation:
The density is 2108 kg/m³.

=====

Record 10
Crystalline BaZrAl2 at its relaxed geometry, computed with GGA-PBE.

```
data_BaZrAl2
_cell_length_a 9.2616
_cell_length_b 4.2564
_cell_length_c 6.5944
_cell_angle_alpha 90.00
_cell_angle_beta 110.44
_cell_angle_gamma 90.00
_space_group_name_H-M_alt 'C 1 2/m 1'
_space_group_IT_number 12
_space_group_name_Hall '-C 2y'
loop_
_atom_site_label
_atom_site_type_symbol
_atom_site_fract_x
_atom_site_fract_y
_atom_site_fract_z
_atom_site_occupancy
Ba1 Ba 0.0000 0.0000 0.0000 1
Zr1 Zr 0.0000 0.5000 0.5000 1
Al1 Al 0.2225 0.0000 0.6080 1
```

Values from the calculation:
The calculation puts the formation energy from the elements at 0.0331 eV per atom. The density is 3852 kg/m³.

=====

Number 1: total DFT energy (no corrections) -4.45 eV per atom. Number 2: total DFT energy (no corrections) -10.04 eV per atom. Number 3: total DFT energy (no corrections) -6.99 eV per atom. Number 4: total DFT energy (no corrections) -1.20 eV per atom. Number 5: total DFT energy (no corrections) -2.32 eV per atom. Number 6: total DFT energy (no corrections) -3.64 eV per atom. Number 7: total DFT energy (no corrections) -6.07 eV per atom. Number 8: total DFT energy (no corrections) -6.22 eV per atom. Number 9: total DFT energy (no corrections) -4.05 eV per atom. Number 10: total DFT energy (no corrections) -4.46 eV per atom.